Entry from the Alexandria database: AgAu2Br after structural relaxation (PBE).

The calculation puts the formation energy from raw total energies at 0.35 eV/atom.

Geometry as CIF:
```
data_AgAu2Br
_chemical_formula_sum 'Ag4 Au8 Br4'
_symmetry_space_group_name_H-M 'P 1'
_symmetry_Int_Tables_number 1
_cell_length_a 6.852
_cell_length_b 6.852
_cell_length_c 6.852
_cell_angle_alpha 90.00
_cell_angle_beta 90.00
_cell_angle_gamma 90.00
loop_
_symmetry_equiv_pos_as_xyz
'x,y,z'
loop_
_atom_site_label
_atom_site_type_symbol
_atom_site_fract_x
_atom_site_fract_y
_atom_site_fract_z
_atom_site_occupancy
Ag1 Ag 0.000 0.000 0.000 1
Ag2 Ag 0.000 0.500 0.500 1
Ag3 Ag 0.500 0.000 0.500 1
Ag4 Ag 0.500 0.500 0.000 1
Au1 Au 0.250 0.250 0.250 1
Au2 Au 0.250 0.250 0.750 1
Au3 Au 0.250 0.750 0.250 1
Au4 Au 0.250 0.750 0.750 1
Au5 Au 0.750 0.250 0.250 1
Au6 Au 0.750 0.250 0.750 1
Au7 Au 0.750 0.750 0.250 1
Au8 Au 0.750 0.750 0.750 1
Br1 Br 0.000 0.000 0.500 1
Br2 Br 0.000 0.500 0.000 1
Br3 Br 0.500 0.000 0.000 1
Br4 Br 0.500 0.500 0.500 1
```

Entry from the Alexandria database: Cs2GaGe2 after structural relaxation (PBE).

Its formation energy is 0.1088 eV per atom.

Geometry as CIF:
```
data_Cs2GaGe2
_chemical_formula_sum 'Cs4 Ga2 Ge4'
_symmetry_space_group_name_H-M 'P 1'
_symmetry_Int_Tables_number 1
_cell_length_a 7.130
_cell_length_b 7.130
_cell_length_c 6.308
_cell_angle_alpha 90.00
_cell_angle_beta 90.00
_cell_angle_gamma 90.00
loop_
_symmetry_equiv_pos_as_xyz
'x,y,z'
loop_
_atom_site_label
_atom_site_type_symbol
_atom_site_fract_x
_atom_site_fract_y
_atom_site_fract_z
_atom_site_occupancy
Cs1 Cs 0.182 0.318 0.000 1
Cs2 Cs 0.318 0.818 0.000 1
Cs3 Cs 0.682 0.182 0.000 1
Cs4 Cs 0.818 0.682 0.000 1
Ga1 Ga 0.000 0.000 0.500 1
Ga2 Ga 0.500 0.500 0.500 1
Ge1 Ge 0.127 0.627 0.500 1
Ge2 Ge 0.373 0.127 0.500 1
Ge3 Ge 0.627 0.873 0.500 1
Ge4 Ge 0.873 0.373 0.500 1
```

Entry from the Alexandria database: La2Pm3Er5 after structural relaxation (PBE).

Its formation energy is 0.1787 eV per atom.

Geometry as CIF:
```
data_La2Pm3Er5
_chemical_formula_sum 'La4 Pm6 Er10'
_symmetry_space_group_name_H-M 'P 1'
_symmetry_Int_Tables_number 1
_cell_length_a 9.795
_cell_length_b 9.795
_cell_length_c 9.290
_cell_angle_alpha 108.11
_cell_angle_beta 108.11
_cell_angle_gamma 114.22
loop_
_symmetry_equiv_pos_as_xyz
'x,y,z'
loop_
_atom_site_label
_atom_site_type_symbol
_atom_site_fract_x
_atom_site_fract_y
_atom_site_fract_z
_atom_site_occupancy
La1 La 0.022 0.277 0.046 1
La2 La 0.277 0.022 0.546 1
La3 La 0.723 0.978 0.454 1
La4 La 0.978 0.723 0.954 1
Pm1 Pm 0.021 0.979 0.750 1
Pm2 Pm 0.227 0.480 0.454 1
Pm3 Pm 0.480 0.227 0.954 1
Pm4 Pm 0.520 0.773 0.046 1
Pm5 Pm 0.773 0.520 0.546 1
Pm6 Pm 0.979 0.021 0.250 1
Er1 Er 0.120 0.386 0.747 1
Er2 Er 0.223 0.777 0.750 1
Er3 Er 0.277 0.723 0.250 1
Er4 Er 0.386 0.120 0.247 1
Er5 Er 0.477 0.523 0.250 1
Er6 Er 0.523 0.477 0.750 1
Er7 Er 0.614 0.880 0.753 1
Er8 Er 0.723 0.277 0.750 1
Er9 Er 0.777 0.223 0.250 1
Er10 Er 0.880 0.614 0.253 1
```

Entry from the Alexandria database: BaAuSe4 after structural relaxation (PBE).

The calculation puts the formation energy from raw total energies at -0.58 eV/atom.

Geometry as CIF:
```
data_BaAuSe4
_chemical_formula_sum 'Ba4 Au4 Se16'
_symmetry_space_group_name_H-M 'P 1'
_symmetry_Int_Tables_number 1
_cell_length_a 5.458
_cell_length_b 17.462
_cell_length_c 7.570
_cell_angle_alpha 90.00
_cell_angle_beta 90.00
_cell_angle_gamma 90.00
loop_
_symmetry_equiv_pos_as_xyz
'x,y,z'
loop_
_atom_site_label
_atom_site_type_symbol
_atom_site_fract_x
_atom_site_fract_y
_atom_site_fract_z
_atom_site_occupancy
Ba1 Ba 0.000 0.138 0.250 1
Ba2 Ba 0.000 0.862 0.750 1
Ba3 Ba 0.500 0.362 0.750 1
Ba4 Ba 0.500 0.638 0.250 1
Au1 Au 0.000 0.411 0.250 1
Au2 Au 0.000 0.589 0.750 1
Au3 Au 0.500 0.089 0.750 1
Au4 Au 0.500 0.911 0.250 1
Se1 Se 0.185 0.198 0.666 1
Se2 Se 0.185 0.802 0.166 1
Se3 Se 0.242 0.004 0.998 1
Se4 Se 0.242 0.996 0.498 1
Se5 Se 0.258 0.496 0.498 1
Se6 Se 0.258 0.504 0.998 1
Se7 Se 0.315 0.302 0.166 1
Se8 Se 0.315 0.698 0.666 1
Se9 Se 0.685 0.302 0.334 1
Se10 Se 0.685 0.698 0.834 1
Se11 Se 0.742 0.496 0.002 1
Se12 Se 0.742 0.504 0.502 1
Se13 Se 0.758 0.004 0.502 1
Se14 Se 0.758 0.996 0.002 1
Se15 Se 0.815 0.198 0.834 1
Se16 Se 0.815 0.802 0.334 1
```

Entry from the Alexandria database: Fe2CuAs after structural relaxation (PBE).

Its formation energy is 0.2508 eV per atom.

Geometry as CIF:
```
data_Fe2CuAs
_chemical_formula_sum 'Fe2 Cu1 As1'
_symmetry_space_group_name_H-M 'P 1'
_symmetry_Int_Tables_number 1
_cell_length_a 2.648
_cell_length_b 2.648
_cell_length_c 7.860
_cell_angle_alpha 90.00
_cell_angle_beta 90.00
_cell_angle_gamma 90.00
loop_
_symmetry_equiv_pos_as_xyz
'x,y,z'
loop_
_atom_site_label
_atom_site_type_symbol
_atom_site_fract_x
_atom_site_fract_y
_atom_site_fract_z
_atom_site_occupancy
Fe1 Fe 0.000 0.000 0.000 1
Fe2 Fe 0.500 0.500 0.236 1
Cu1 Cu 0.500 0.500 0.772 1
As1 As 0.000 0.000 0.482 1
```

Entry from the Alexandria database: CePuInRu after structural relaxation (PBE).

Its formation energy is -0.2642 eV per atom.

Geometry as CIF:
```
data_CePuInRu
_chemical_formula_sum 'Ce1 Pu1 In1 Ru1'
_symmetry_space_group_name_H-M 'P 1'
_symmetry_Int_Tables_number 1
_cell_length_a 3.283
_cell_length_b 3.283
_cell_length_c 8.682
_cell_angle_alpha 90.00
_cell_angle_beta 90.00
_cell_angle_gamma 90.00
loop_
_symmetry_equiv_pos_as_xyz
'x,y,z'
loop_
_atom_site_label
_atom_site_type_symbol
_atom_site_fract_x
_atom_site_fract_y
_atom_site_fract_z
_atom_site_occupancy
Ce1 Ce 0.000 0.000 0.000 1
Pu1 Pu 0.000 0.000 0.588 1
In1 In 0.500 0.500 0.299 1
Ru1 Ru 0.500 0.500 0.794 1
```

Entry from the Alexandria database: PmMg2SnPd4 after structural relaxation (PBE).

Its formation energy is -0.6838 eV per atom.

Geometry as CIF:
```
data_PmMg2SnPd4
_chemical_formula_sum 'Pm1 Mg2 Sn1 Pd4'
_symmetry_space_group_name_H-M 'P 1'
_symmetry_Int_Tables_number 1
_cell_length_a 8.133
_cell_length_b 8.133
_cell_length_c 8.133
_cell_angle_alpha 33.91
_cell_angle_beta 33.91
_cell_angle_gamma 33.91
loop_
_symmetry_equiv_pos_as_xyz
'x,y,z'
loop_
_atom_site_label
_atom_site_type_symbol
_atom_site_fract_x
_atom_site_fract_y
_atom_site_fract_z
_atom_site_occupancy
Pm1 Pm 0.000 0.000 0.000 1
Mg1 Mg 0.248 0.248 0.248 1
Mg2 Mg 0.752 0.752 0.752 1
Sn1 Sn 0.500 0.500 0.500 1
Pd1 Pd 0.129 0.129 0.129 1
Pd2 Pd 0.382 0.382 0.382 1
Pd3 Pd 0.618 0.618 0.618 1
Pd4 Pd 0.871 0.871 0.871 1
```

Entry from the Alexandria database: La5MgZn4 after structural relaxation (PBE).

Its formation energy is -0.2723 eV per atom.

Geometry as CIF:
```
data_La5MgZn4
_chemical_formula_sum 'La5 Mg1 Zn4'
_symmetry_space_group_name_H-M 'P 1'
_symmetry_Int_Tables_number 1
_cell_length_a 3.796
_cell_length_b 3.796
_cell_length_c 19.094
_cell_angle_alpha 90.00
_cell_angle_beta 90.00
_cell_angle_gamma 90.00
loop_
_symmetry_equiv_pos_as_xyz
'x,y,z'
loop_
_atom_site_label
_atom_site_type_symbol
_atom_site_fract_x
_atom_site_fract_y
_atom_site_fract_z
_atom_site_occupancy
La1 La 0.000 0.000 0.000 1
La2 La 0.000 0.000 0.196 1
La3 La 0.000 0.000 0.386 1
La4 La 0.000 0.000 0.614 1
La5 La 0.000 0.000 0.804 1
Mg1 Mg 0.500 0.500 0.500 1
Zn1 Zn 0.500 0.500 0.098 1
Zn2 Zn 0.500 0.500 0.294 1
Zn3 Zn 0.500 0.500 0.706 1
Zn4 Zn 0.500 0.500 0.902 1
```